# 1
A relaxed LaZn2SiNi2 crystal, computed with PBE.

E_form (uncorrected)	-1.929	eV per formula unit

POSCAR file:
```
LaZn2SiNi2
1.0
4.318 0.000 0.000
0.000 4.318 0.000
0.000 0.000 5.782
La Zn Si Ni
1 2 1 2
direct
0.000 0.000 0.000
0.500 0.500 0.250
0.500 0.500 0.750
0.000 0.000 0.500
0.000 0.500 0.500
0.500 0.000 0.500
```

# 2
A relaxed LaSmNi10 crystal, computed with PBE.

energy of formation from the pure elements	-3.47	eV/f.u.

POSCAR file:
```
LaSmNi10
1.0
3.970 0.000 0.000
0.000 4.967 0.000
0.000 0.000 8.596
La Sm Ni
1 1 10
direct
0.000 0.000 0.000
0.000 0.500 0.500
0.000 0.000 0.335
0.000 0.000 0.665
0.000 0.500 0.169
0.000 0.500 0.831
0.500 0.000 0.500
0.500 0.252 0.254
0.500 0.252 0.746
0.500 0.500 0.000
0.500 0.748 0.254
0.500 0.748 0.746
```

These records have total energy values of -4.40; -5.91 eV per atom, in the order they appear.